# PBE CsHfMg2Au, relaxed
# final energy = -1.49 eV/atom
# density of states at the Fermi level = 0.86 states/eV/atom
data_CsHfMg2Au
_chemical_formula_sum 'Cs1 Hf1 Mg2 Au1'
_cell_length_a 5.617
_cell_length_b 5.617
_cell_length_c 5.573
_cell_angle_alpha 90.00
_cell_angle_beta 90.00
_cell_angle_gamma 90.00
_symmetry_space_group_name_H-M 'P 4/m m m'
_symmetry_Int_Tables_number 123
_symmetry_space_group_name_Hall '-P 4 2'
loop_
_atom_site_label
_atom_site_fract_x
_atom_site_fract_y
_atom_site_fract_z
Cs1 0.000 0.000 0.000
Hf1 0.000 0.000 0.500
Mg1 0.000 0.500 0.000
Au1 0.500 0.500 0.500



# PBE Cs2HfAuO4, relaxed
# final energy = -5.94 eV/atom
# density of states at the Fermi level = 0.40 states/eV/atom
data_Cs2HfAuO4
_chemical_formula_sum 'Cs16 Hf8 Au8 O32'
_cell_length_a 5.697
_cell_length_b 13.225
_cell_length_c 22.308
_cell_angle_alpha 90.00
_cell_angle_beta 90.00
_cell_angle_gamma 90.00
_symmetry_space_group_name_H-M 'F d d d'
_symmetry_Int_Tables_number 70
loop_
_symmetry_equiv_pos_as_xyz
'x,y,z'
'-x,-y,-z'
'-x+1/4,-y+1/4,z'
'x+1/4,y+1/4,-z'
'x,-y+1/4,-z+1/4'
'-x,y+1/4,z+1/4'
'-x+1/4,y,-z+1/4'
'x+1/4,-y,z+1/4'
'x,y+1/2,z+1/2'
'-x,-y+1/2,-z+1/2'
'-x+1/4,-y+3/4,z+1/2'
'x+1/4,y+3/4,-z+1/2'
'x,-y+3/4,-z+3/4'
'-x,y+3/4,z+3/4'
'-x+1/4,y+1/2,-z+3/4'
'x+1/4,-y+1/2,z+3/4'
'x+1/2,y,z+1/2'
'-x+1/2,-y,-z+1/2'
'-x+3/4,-y+1/4,z+1/2'
'x+3/4,y+1/4,-z+1/2'
'x+1/2,-y+1/4,-z+3/4'
'-x+1/2,y+1/4,z+3/4'
'-x+3/4,y,-z+3/4'
'x+3/4,-y,z+3/4'
'x+1/2,y+1/2,z'
'-x+1/2,-y+1/2,-z'
'-x+3/4,-y+3/4,z'
'x+3/4,y+3/4,-z'
'x+1/2,-y+3/4,-z+1/4'
'-x+1/2,y+3/4,z+1/4'
'-x+3/4,y+1/2,-z+1/4'
'x+3/4,-y+1/2,z+1/4'
loop_
_atom_site_label
_atom_site_fract_x
_atom_site_fract_y
_atom_site_fract_z
Cs1 0.125 0.125 0.304
Hf1 0.125 0.125 0.125
Au1 0.125 0.125 0.625
O1 0.084 0.284 0.420



# PBE CsHfP2Au, relaxed
# final energy = -5.15 eV/atom
# density of states at the Fermi level = 0.40 states/eV/atom
data_CsHfP2Au
_chemical_formula_sum 'Cs1 Hf1 P2 Au1'
_cell_length_a 5.043
_cell_length_b 5.043
_cell_length_c 5.688
_cell_angle_alpha 90.00
_cell_angle_beta 90.00
_cell_angle_gamma 90.00
_symmetry_space_group_name_H-M 'P 4/m m m'
_symmetry_Int_Tables_number 123
_symmetry_space_group_name_Hall '-P 4 2'
loop_
_atom_site_label
_atom_site_fract_x
_atom_site_fract_y
_atom_site_fract_z
Cs1 0.000 0.000 0.000
Hf1 0.500 0.500 0.500
P1 0.000 0.500 0.500
Au1 0.500 0.500 0.000



# PBE CsHfPt2Au, relaxed
# final energy = -5.12 eV/atom
# density of states at the Fermi level = 0.32 states/eV/atom
data_CsHfPt2Au
_chemical_formula_sum 'Cs1 Hf1 Pt2 Au1'
_cell_length_a 5.117
_cell_length_b 5.117
_cell_length_c 5.542
_cell_angle_alpha 90.00
_cell_angle_beta 90.00
_cell_angle_gamma 90.00
_symmetry_space_group_name_H-M 'P 4/m m m'
_symmetry_Int_Tables_number 123
_symmetry_space_group_name_Hall '-P 4 2'
loop_
_atom_site_label
_atom_site_fract_x
_atom_site_fract_y
_atom_site_fract_z
Cs1 0.000 0.000 0.000
Hf1 0.500 0.500 0.500
Pt1 0.000 0.500 0.500
Au1 0.500 0.500 0.000



# PBE CsRb2HfAu, relaxed
# final energy = -2.31 eV/atom
# density of states at the Fermi level = 0.87 states/eV/atom
data_CsRb2HfAu
_chemical_formula_sum 'Cs1 Rb2 Hf1 Au1'
_cell_length_a 6.568
_cell_length_b 6.568
_cell_length_c 6.830
_cell_angle_alpha 90.00
_cell_angle_beta 90.00
_cell_angle_gamma 90.00
_symmetry_space_group_name_H-M 'P 4/m m m'
_symmetry_Int_Tables_number 123
_symmetry_space_group_name_Hall '-P 4 2'
loop_
_atom_site_label
_atom_site_fract_x
_atom_site_fract_y
_atom_site_fract_z
Cs1 0.000 0.000 0.000
Rb1 0.000 0.500 0.500
Hf1 0.500 0.500 0.000
Au1 0.000 0.000 0.500



# PBE Cs2HfRuAu, relaxed
# final energy = -3.91 eV/atom
# density of states at the Fermi level = 0.73 states/eV/atom
data_Cs2HfRuAu
_chemical_formula_sum 'Cs2 Hf1 Ru1 Au1'
_cell_length_a 7.268
_cell_length_b 7.268
_cell_length_c 4.619
_cell_angle_alpha 90.00
_cell_angle_beta 90.00
_cell_angle_gamma 90.00
_symmetry_space_group_name_H-M 'P 4/m m m'
_symmetry_Int_Tables_number 123
_symmetry_space_group_name_Hall '-P 4 2'
loop_
_atom_site_label
_atom_site_fract_x
_atom_site_fract_y
_atom_site_fract_z
Cs1 0.000 0.500 0.000
Hf1 0.000 0.000 0.000
Ru1 0.000 0.000 0.500
Au1 0.500 0.500 0.500



# PBE Cs2HfAuS4, relaxed
# final energy = -4.98 eV/atom
# density of states at the Fermi level = 1.10 states/eV/atom
data_Cs2HfAuS4
_chemical_formula_sum 'Cs16 Hf8 Au8 S32'
_cell_length_a 6.079
_cell_length_b 14.399
_cell_length_c 25.733
_cell_angle_alpha 90.00
_cell_angle_beta 90.00
_cell_angle_gamma 90.00
_symmetry_space_group_name_H-M 'F d d d'
_symmetry_Int_Tables_number 70
loop_
_symmetry_equiv_pos_as_xyz
'x,y,z'
'-x,-y,-z'
'-x+1/4,-y+1/4,z'
'x+1/4,y+1/4,-z'
'x,-y+1/4,-z+1/4'
'-x,y+1/4,z+1/4'
'-x+1/4,y,-z+1/4'
'x+1/4,-y,z+1/4'
'x,y+1/2,z+1/2'
'-x,-y+1/2,-z+1/2'
'-x+1/4,-y+3/4,z+1/2'
'x+1/4,y+3/4,-z+1/2'
'x,-y+3/4,-z+3/4'
'-x,y+3/4,z+3/4'
'-x+1/4,y+1/2,-z+3/4'
'x+1/4,-y+1/2,z+3/4'
'x+1/2,y,z+1/2'
'-x+1/2,-y,-z+1/2'
'-x+3/4,-y+1/4,z+1/2'
'x+3/4,y+1/4,-z+1/2'
'x+1/2,-y+1/4,-z+3/4'
'-x+1/2,y+1/4,z+3/4'
'-x+3/4,y,-z+3/4'
'x+3/4,-y,z+3/4'
'x+1/2,y+1/2,z'
'-x+1/2,-y+1/2,-z'
'-x+3/4,-y+3/4,z'
'x+3/4,y+3/4,-z'
'x+1/2,-y+3/4,-z+1/4'
'-x+1/2,y+3/4,z+1/4'
'-x+3/4,y+1/2,-z+1/4'
'x+3/4,-y+1/2,z+1/4'
loop_
_atom_site_label
_atom_site_fract_x
_atom_site_fract_y
_atom_site_fract_z
Cs1 0.125 0.125 0.303
Hf1 0.125 0.125 0.125
Au1 0.125 0.125 0.625
S1 0.108 0.279 0.427



# PBE Cs2HfZrAu, relaxed
# final energy = -3.44 eV/atom
# density of states at the Fermi level = 1.19 states/eV/atom
data_Cs2HfZrAu
_chemical_formula_sum 'Cs2 Hf1 Zr1 Au1'
_cell_length_a 6.861
_cell_length_b 6.861
_cell_length_c 5.078
_cell_angle_alpha 90.00
_cell_angle_beta 90.00
_cell_angle_gamma 90.00
_symmetry_space_group_name_H-M 'P 4/m m m'
_symmetry_Int_Tables_number 123
_symmetry_space_group_name_Hall '-P 4 2'
loop_
_atom_site_label
_atom_site_fract_x
_atom_site_fract_y
_atom_site_fract_z
Cs1 0.000 0.500 0.000
Hf1 0.000 0.000 0.500
Zr1 0.000 0.000 0.000
Au1 0.500 0.500 0.500



# PBE Cs2Hg2Au, relaxed
# final energy = -1.30 eV/atom
# density of states at the Fermi level = 0.41 states/eV/atom
# ΔE to the lowest computed polymorph = 104 meV per atom
data_Cs2Hg2Au
_chemical_formula_sum 'Cs4 Hg4 Au2'
_cell_length_a 7.252
_cell_length_b 7.252
_cell_length_c 8.867
_cell_angle_alpha 90.00
_cell_angle_beta 90.00
_cell_angle_gamma 90.00
_symmetry_space_group_name_H-M 'I 4/m m m'
_symmetry_Int_Tables_number 139
_symmetry_space_group_name_Hall '-I 4 2'
loop_
_atom_site_label
_atom_site_fract_x
_atom_site_fract_y
_atom_site_fract_z
Cs1 0.000 0.500 0.250
Hg1 0.000 0.000 0.173
Au1 0.000 0.000 0.500



# PBE Cs12Hg5Au3, relaxed
# final energy = -1.16 eV/atom
# density of states at the Fermi level = 1.36 states/eV/atom
data_Cs12Hg5Au3
_chemical_formula_sum 'Cs96 Hg40 Au24'
_cell_length_a 21.977
_cell_length_b 21.977
_cell_length_c 21.977
_cell_angle_alpha 90.00
_cell_angle_beta 90.00
_cell_angle_gamma 90.00
_symmetry_space_group_name_H-M 'I a -3 d'
_symmetry_Int_Tables_number 230
_symmetry_space_group_name_Hall '-I 4bd 2c 3'
loop_
_atom_site_label
_atom_site_fract_x
_atom_site_fract_y
_atom_site_fract_z
Cs1 0.022 0.081 0.651
Hg1 0.000 0.000 0.000
Hg2 0.000 0.250 0.375
Au1 0.000 0.250 0.125



# PBE CsHgAu3, relaxed
# final energy = -1.14 eV/atom
# density of states at the Fermi level = 1.34 states/eV/atom
# ΔE to the lowest computed polymorph = 1143 meV per atom
data_CsHgAu3
_chemical_formula_sum 'Cs1 Hg1 Au3'
_cell_length_a 6.281
_cell_length_b 6.281
_cell_length_c 6.281
_cell_angle_alpha 90.00
_cell_angle_beta 90.00
_cell_angle_gamma 90.00
_symmetry_space_group_name_H-M 'P m -3 m'
_symmetry_Int_Tables_number 221
_symmetry_space_group_name_Hall '-P 4 2 3'
loop_
_atom_site_label
_atom_site_fract_x
_atom_site_fract_y
_atom_site_fract_z
Cs1 0.000 0.000 0.000
Hg1 0.500 0.500 0.500
Au1 0.000 0.000 0.500



# PBE CsHg8Au2, relaxed
# final energy = -0.90 eV/atom
# density of states at the Fermi level = 0.36 states/eV/atom
data_CsHg8Au2
_chemical_formula_sum 'Cs1 Hg8 Au2'
_cell_length_a 6.456
_cell_length_b 6.456
_cell_length_c 10.151
_cell_angle_alpha 90.00
_cell_angle_beta 90.00
_cell_angle_gamma 90.00
_symmetry_space_group_name_H-M 'P 4/m m m'
_symmetry_Int_Tables_number 123
_symmetry_space_group_name_Hall '-P 4 2'
loop_
_atom_site_label
_atom_site_fract_x
_atom_site_fract_y
_atom_site_fract_z
Cs1 0.000 0.000 0.000
Hg1 0.252 0.252 0.312
Au1 0.000 0.500 0.500